A relaxed structure of RbNa3V4O12. Source: the Alexandria database, functional PBE+U.

- total magnetic moment (μB per atom) = 0.00
- final energy (eV/atom) = -6.2878

Cell lengths 12.2782, 12.2782, 7.0605 Å; angles 90.00, 90.00, 120.00 degrees
Last column: nearest neighbours and their distance in Å.
Space group R32 (No. 155, hexagonal axes)
One atom of each set of equivalent atoms:
Rb: 0.0000 0.0000 0.0000  6 O 3.07
Na: 0.0000 0.5722 0.0000  6 O 2.32-2.44
V: 0.0000 0.0000 0.5000  3 O 1.68
V: 0.0000 0.4229 0.5000  3 O 1.68-1.73
O: 0.0000 0.5600 0.5000  1 V 1.68
O: 0.0000 0.8632 0.5000  1 V 1.68
O: 0.0572 0.2573 0.1536  1 V 1.73